CaPu2MgAu4 GGA-PBE optimized geometry; DOS at the Fermi energy = 3.564 states/eV per atom; size of the total moment = 11.4 Bohr magnetons per cell; ΔE_f = -0.501 eV per atom; symmetry = R-3m (166); theoretical density = 12.044 g/cm3
1.0
-4.792 -0.668 -1.532
-1.316 -4.256 -2.431
-3.855 -5.220 5.926
Au Pu Mg Ca
4 2 1 1
Cartesian
-4.314 -3.759 -1.677 Au
-5.648 -6.384 3.639 Au
-6.792 -6.269 -1.240 Au
-3.171 -3.875 3.203 Au
-2.507 -2.567 0.554 Pu
-7.456 -7.576 1.409 Pu
-4.981 -5.072 0.981 Mg
0.000 0.000 0.000 Ca

Li3Er3AlTe8 GGA-PBE optimized geometry; DOS at the Fermi energy = 0.413 states/eV per atom; size of the total moment = 0.0 Bohr magnetons per cell; symmetry = R-3m (166); theoretical density = 5.923 g/cm3; VASP energy = -4.253 eV/atom
1.0
-8.460 -0.475 -0.595
4.775 -0.303 -7.020
-0.007 -6.655 5.422
Te Er Al Li
8 3 1 3
Cartesian
0.268 -1.890 -2.306 Te
-3.946 -2.238 -2.740 Te
-3.961 -5.543 0.113 Te
0.253 -5.194 0.547 Te
-1.700 -2.381 -6.042 Te
-1.992 -5.052 3.849 Te
-6.474 -5.303 3.534 Te
2.781 -2.129 -5.727 Te
-1.846 -3.716 -1.096 Er
2.384 -3.479 -0.799 Er
-4.233 -3.565 2.414 Er
-0.004 -3.328 2.711 Al
-1.842 -0.389 -3.807 Li
2.387 -0.151 -3.510 Li
0.000 0.000 0.000 Li

La2TbPr3Ho6 GGA-PBE optimized geometry; DOS at the Fermi energy = 1.133 states/eV per atom; size of the total moment = 0.0 Bohr magnetons per cell; ΔE_f = 0.015 eV per atom; symmetry = C2/m (12); theoretical density = 7.710 g/cm3
1.0
-3.488 -1.563 -4.978
-2.087 -1.203 5.796
-3.291 11.392 0.047
Ho Pr La Tb
6 3 2 1
Cartesian
-6.884 6.410 -1.142 Ho
-2.448 2.097 -1.575 Ho
-1.983 2.217 2.007 Ho
-3.855 7.855 0.239 Ho
-6.418 6.529 2.439 Ho
-5.012 0.771 0.626 Ho
-3.966 4.433 4.023 Pr
-4.900 4.193 -3.158 Pr
-4.433 4.313 0.432 Pr
-3.021 -1.442 -1.383 La
-2.555 -1.323 2.200 La
0.000 0.000 0.000 Tb